Below is an optimized crystal structure of SiB2Se, with properties calculated at the PBE-GGA level.

Lattice parameters (Å, degrees): 4.044 4.044 4.044 60.00 60.00 60.00
Sites, in units of the cell vectors:
Si (0.000, 0.000, 0.000)
B (0.250, 0.250, 0.250)
B (0.750, 0.750, 0.750)
Se (0.500, 0.500, 0.500)

Calculated values
Its space group is Fm-3m. The theoretical density is 4.57 g cm⁻³. Its crystal system is cubic. Its raw formation energy is 1602 meV/atom.

=====

Below is an optimized crystal structure of Ho2Sc3Ga4, with properties calculated at the PBE-GGA level.

Lattice parameters (Å, degrees): 7.553 7.562 7.260 90.00 107.91 90.00
Sites, in units of the cell vectors:
Ho (0.193, 0.178, 0.072)
Ho (0.193, 0.322, 0.572)
Ho (0.807, 0.678, 0.428)
Ho (0.807, 0.822, 0.928)
Sc (0.246, 0.676, 0.248)
Sc (0.246, 0.824, 0.748)
Sc (0.500, 0.000, 0.500)
Sc (0.500, 0.500, 0.000)
Sc (0.754, 0.176, 0.252)
Sc (0.754, 0.324, 0.752)
Ga (0.080, 0.533, 0.863)
Ga (0.080, 0.967, 0.363)
Ga (0.495, 0.123, 0.872)
Ga (0.495, 0.377, 0.372)
Ga (0.505, 0.623, 0.628)
Ga (0.505, 0.877, 0.128)
Ga (0.920, 0.033, 0.637)
Ga (0.920, 0.467, 0.137)

Calculated values
Its space group is P2_1/c. The theoretical density is 6.26 g cm⁻³. The calculation puts the formation energy at -622 meV per atom. Its crystal system is monoclinic.

=====

Repeat the first record exactly.
Below is an optimized crystal structure of SiB2Se, with properties calculated at the PBE-GGA level.

Lattice parameters (Å, degrees): 4.044 4.044 4.044 60.00 60.00 60.00
Sites, in units of the cell vectors:
Si (0.000, 0.000, 0.000)
B (0.250, 0.250, 0.250)
B (0.750, 0.750, 0.750)
Se (0.500, 0.500, 0.500)

Calculated values
Its space group is Fm-3m. The theoretical density is 4.57 g cm⁻³. Its crystal system is cubic. Its raw formation energy is 1602 meV/atom.

=====

Question: What is the theoretical density in the first record?
Answer: 4.57 g cm⁻³

=====

Question: What is the formula in the second record?
Answer: Ho2Sc3Ga4

=====

Question: What is the theoretical density in the first record?
Answer: 4.57 g cm⁻³